The following is a DFT calculation (GGA+U) of crystalline Mg3Al12FeSi4B4O36 at its relaxed geometry.

a = 5.831 Å, b = 10.425 Å, c = 11.130 Å
α = 90.15°, β = 90.00°, γ = 90.00°
Site moments in Bohr magnetons follow the coordinates.
Fractional positions:
1 Mg 0.500 0.091 0.219  0.00
2 Mg 0.000 0.592 0.280  0.00
3 Mg 0.000 0.908 0.781  0.00
4 Al 0.750 0.501 0.498  0.00
5 Al 0.250 0.999 0.001  0.00
6 Al 0.250 0.501 0.498  0.00
7 Al 0.750 0.999 0.001  0.00
8 Al 0.500 0.273 0.949  0.00
9 Al 0.500 0.226 0.447  0.00
10 Al 0.000 0.727 0.052  0.00
11 Al 0.000 0.774 0.552  0.00
12 Al 0.750 0.001 0.500  0.00
13 Al 0.250 0.500 0.001  0.00
14 Al 0.250 0.001 0.500  0.00
15 Al 0.750 0.500 0.001  0.00
16 Fe 0.500 0.408 0.718  3.76
17 Si 0.500 0.064 0.765  0.00
18 Si 0.500 0.433 0.264  0.00
19 Si 0.000 0.934 0.237  0.00
20 Si 0.000 0.568 0.737  0.01
21 B 0.000 0.249 0.499  0.00
22 B 0.000 0.251 0.000  0.00
23 B 0.500 0.752 0.500  0.00
24 B 0.500 0.749 0.002  0.00
25 O 0.000 0.954 0.600  0.00
26 O 0.000 0.547 0.100  0.00
27 O 0.500 0.047 0.401  0.00
28 O 0.500 0.453 0.904  0.02
29 O 0.796 0.319 0.001  0.00
30 O 0.204 0.181 0.500  0.00
31 O 0.296 0.681 0.001  0.00
32 O 0.704 0.820 0.500  0.00
33 O 0.704 0.681 0.001  0.00
34 O 0.296 0.820 0.500  0.00
35 O 0.204 0.319 0.001  0.00
36 O 0.796 0.181 0.500  0.00
37 O 0.500 0.222 0.792  0.02
38 O 0.500 0.275 0.288  0.00
39 O 0.000 0.775 0.212  0.00
40 O 0.000 0.726 0.711  0.00
41 O 0.500 0.383 0.518  0.02
42 O 0.500 0.118 0.024  0.00
43 O 0.000 0.619 0.476  0.00
44 O 0.000 0.881 0.978  0.00
45 O 0.500 0.027 0.621  0.00
46 O 0.500 0.473 0.121  0.00
47 O 0.000 0.972 0.380  0.00
48 O 0.000 0.528 0.879  0.00
49 O 0.000 0.379 0.495  0.00
50 O 0.000 0.121 0.996  0.00
51 O 0.500 0.622 0.503  0.00
52 O 0.500 0.878 0.005  0.00
53 O 0.775 0.508 0.668  0.03
54 O 0.227 0.993 0.171  0.00
55 O 0.272 0.493 0.328  0.00
56 O 0.727 0.005 0.830  0.00
57 O 0.728 0.493 0.328  0.00
58 O 0.273 0.005 0.830  0.00
59 O 0.225 0.508 0.668  0.03
60 O 0.773 0.993 0.171  0.00

Calculated values
Its symmetry is Pm, No. 6. The value obtained for the calculated total energy is -7.547 eV/atom. Its volume is 676.5 Å³ per cell.